# 1
A relaxed CaThAu crystal. Source: Alexandria, functional PBE.

```
3
Lattice="-3.003 1.325 1.439 -0.959 -3.295 1.033 5.231 1.900 4.701" Properties=species:S:1:pos:R:3 pbc="T T T"
Ca 0.179 0.050 0.327
Th 1.977 0.557 3.612
Au -0.887 -0.677 3.234
```

Computed properties:
E, eV/f.u.: -13.75
Crystal system: tetragonal
N(E_F), states/eV per cell: 2.75
Formation energy from the elements, kJ per mole of atoms: -34
Polymorph energy (0 for the lowest one), eV/f.u.: 0.000
Symmetry: I4mm, No. 107

# 2
A relaxed K2RbSbS4 crystal. Source: Alexandria, functional PBE.

```
8
Lattice="-7.085 0.823 0.902 1.172 -5.930 -3.892 3.116 -0.536 6.457" Properties=species:S:1:pos:R:3 pbc="T T T"
S 1.040 -3.067 -0.804
S -5.270 -0.415 3.413
S -2.626 -2.743 1.826
S 1.262 -5.062 2.498
K 0.000 0.000 0.000
K -1.885 -4.170 -0.854
Sb 2.144 -3.233 1.282
Rb -0.913 -1.473 4.321
```

Computed properties:
E, eV/f.u.: -30.56
Crystal system: tetragonal
N(E_F), states/eV per cell: 0.00
Symmetry: I-4, No. 82
Raw formation energy, eV/f.u.: -6.77

# 3
A relaxed Cs2CaO crystal. Source: Alexandria, functional PBE.

```
4
Lattice="-5.926 -1.275 1.609 -1.988 1.173 5.832 -4.040 4.680 1.054" Properties=species:S:1:pos:R:3 pbc="T T T"
Ca -5.977 2.289 4.247
O 0.000 0.000 0.000
Cs -8.966 3.433 6.371
Cs -2.989 1.144 2.124
```

Computed properties:
E, eV/f.u.: -7.80
Crystal system: cubic
N(E_F), states/eV per cell: 0.00
Polymorph energy (0 for the lowest one), eV/f.u.: 4.413
Symmetry: Fm-3m, No. 225
Raw formation energy, eV/f.u.: 0.87

# 4
A relaxed LiZrRe3 crystal. Source: Alexandria, functional PBE.

```
5
Lattice="4.841 0.000 0.000 0.000 4.841 0.000 0.000 0.000 4.841" Properties=species:S:1:pos:R:3 pbc="T T T"
Zr 0.000 0.000 0.000
Li 2.421 2.421 2.421
Re 2.421 0.000 0.000
Re 0.000 0.000 2.421
Re 0.000 2.421 0.000
```

Computed properties:
E, eV/f.u.: -35.46
Crystal system: cubic
N(E_F), states/eV per cell: 7.52
Formation energy from the elements, kJ per mole of atoms: 238
Polymorph energy (0 for the lowest one), eV/f.u.: 7.317
Symmetry: Pm-3m, No. 221

# 5
A relaxed Cd4CuSb2 crystal. Source: Alexandria, functional PBE.

```
7
Lattice="5.100 0.000 0.000 0.000 5.100 0.000 2.550 2.550 7.337" Properties=species:S:1:pos:R:3 pbc="T T T"
Cu 0.000 0.000 0.000
Cd 2.550 0.000 0.000
Cd 2.550 2.550 4.752
Cd 5.100 5.100 2.585
Cd 0.000 2.550 0.000
Sb 2.550 2.550 1.925
Sb 5.100 5.100 5.412
```

Computed properties:
E, eV/f.u.: -14.20
Crystal system: tetragonal
N(E_F), states/eV per cell: 3.86
Symmetry: I4/mmm, No. 139
Raw formation energy, eV/f.u.: 1.81

# 6
A relaxed PrHoZn2 crystal. Source: Alexandria, functional PBE.

```
4
Lattice="3.604 0.000 0.000 0.000 3.604 0.000 0.000 0.000 7.375" Properties=species:S:1:pos:R:3 pbc="T T T"
Pr 1.802 1.802 3.687
Ho 1.802 1.802 0.000
Zn 0.000 0.000 5.706
Zn 0.000 0.000 1.669
```

Computed properties:
E, eV/f.u.: -13.18
Crystal system: tetragonal
N(E_F), states/eV per cell: 4.26
Formation energy from the elements, kJ per mole of atoms: -31
Polymorph energy (0 for the lowest one), eV/f.u.: 0.000
Symmetry: P4/mmm, No. 123

# 7
A relaxed HPdIO2 crystal. Source: Alexandria, functional PBE.

```
5
Lattice="-2.711 -1.491 -2.099 -1.311 -1.824 2.989 -4.729 6.195 1.707" Properties=species:S:1:pos:R:3 pbc="T T T"
O -0.655 -0.912 1.495
O -1.356 -0.746 -1.050
H -4.376 1.440 1.298
I -2.365 3.098 0.853
Pd 0.000 0.000 0.000
```

Computed properties:
E, eV/f.u.: -17.48
Crystal system: tetragonal
N(E_F), states/eV per cell: 2.01
Polymorph energy (0 for the lowest one), eV/f.u.: 0.000
Symmetry: P4/mmm, No. 123

# 8
A relaxed CdTc2Pb crystal. Source: Alexandria, functional PBE.

```
4
Lattice="3.008 -3.580 0.223 0.332 -2.537 3.920 -1.599 -4.399 0.083" Properties=species:S:1:pos:R:3 pbc="T T T"
Pb 0.871 -5.258 2.113
Cd 0.000 0.000 0.000
Tc 0.435 -2.629 1.056
Tc 1.306 -7.887 3.169
```

Computed properties:
E, eV/f.u.: -22.44
Crystal system: cubic
N(E_F), states/eV per cell: 3.02
Formation energy from the elements, kJ per mole of atoms: 70
Polymorph energy (0 for the lowest one), eV/f.u.: 2.074
Symmetry: Fm-3m, No. 225